Entry one
The following is a PBE with a Hubbard U calculation of an optimized crystal structure of Cr2PtF, from Alexandria via LeMat-Bulk.

Properties
Crystal system: cubic

Cell lengths 4.4710, 4.4710, 4.4710 Å; angles 60.00, 60.00, 60.00 degrees
With the nearest neighbours (Å) after each atom.
Sites, in units of the cell vectors:
Cr 0.2500 0.2500 0.2500  4 Pt 2.74, 4 F 2.74
Cr 0.7500 0.7500 0.7500  4 Pt 2.74, 4 F 2.74
Pt 0.5000 0.5000 0.5000  8 Cr 2.74
F 0.0000 0.0000 0.0000  8 Cr 2.74

***

Entry two
The following is a PBE with a Hubbard U calculation of an optimized crystal structure of Cr2PtF, from Alexandria via LeMat-Bulk.

Properties
Crystal system: tetragonal

Cell lengths 6.4030, 6.4030, 5.5468 Å; angles 54.75, 54.75, 90.00 degrees
With the nearest neighbours (Å) after each atom.
Sites, in units of the cell vectors:
Cr 0.5708 0.1250 0.2500  2 F 2.19
Cr 0.1792 0.6250 0.2500  2 F 2.19
Cr 0.3750 0.4292 0.7500  2 F 2.19
Cr 0.8750 0.8208 0.7500  2 F 2.19
Pt 0.0000 0.0000 0.0000  4 Cr 2.65
Pt 0.7500 0.2500 0.5000  4 Cr 2.65
F 0.5000 0.5000 0.0000  4 Cr 2.19
F 0.2500 0.7500 0.5000  4 Cr 2.19

***

Energy comparison, zero being the most stable, in eV/atom: entry one 0.171; entry two 0.000.

***

Entry one
The following is a PBE with a Hubbard U calculation of an optimized crystal structure of Cr2Pt2F, from Alexandria via LeMat-Bulk.

Properties
Crystal system: tetragonal

Cell lengths 3.6505, 3.6505, 7.4808 Å; angles 75.88, 75.88, 90.00 degrees
With the nearest neighbours (Å) after each atom.
Sites, in units of the cell vectors:
Cr 0.3985 0.3985 0.2029  4 Pt 2.77, 1 Cr 2.85, 4 F 2.95
Cr 0.6015 0.6015 0.7971  4 Pt 2.77, 1 Cr 2.85, 4 F 2.95
Pt 0.7500 0.2500 0.5000  4 Pt 2.58, 4 Cr 2.77
Pt 0.2500 0.7500 0.5000  4 Pt 2.58, 4 Cr 2.77
F 0.0000 0.0000 0.0000  8 Cr 2.95

***

Entry two
The following is a PBE with a Hubbard U calculation of an optimized crystal structure of Cr2Pt2F, from Alexandria via LeMat-Bulk.

Properties
Crystal system: tetragonal

Cell lengths 5.7577, 5.7577, 4.6861 Å; angles 90.00, 90.00, 90.00 degrees
With the nearest neighbours (Å) after each atom.
Sites, in units of the cell vectors:
Cr 0.3228 0.8228 0.0000  2 F 2.12
Cr 0.8228 0.6772 0.0000  2 F 2.12
Cr 0.6772 0.1772 0.0000  2 F 2.12
Cr 0.1772 0.3228 0.0000  2 F 2.12
Pt 0.1633 0.6633 0.5000  1 Pt 2.66, 2 Cr 2.68
Pt 0.6633 0.8367 0.5000  1 Pt 2.66, 2 Cr 2.68
Pt 0.8367 0.3367 0.5000  1 Pt 2.66, 2 Cr 2.68
Pt 0.3367 0.1633 0.5000  1 Pt 2.66, 2 Cr 2.68
F 0.0000 0.0000 0.0000  4 Cr 2.12
F 0.5000 0.5000 0.0000  4 Cr 2.12

***

Energy comparison, zero being the most stable, in eV/atom: entry one 0.169; entry two 0.000.

***

Entry one
The following is a PBE with a Hubbard U calculation of an optimized crystal structure of RbCr2F, from Alexandria via LeMat-Bulk.

Properties
Crystal system: tetragonal

Cell lengths 7.1238, 7.1238, 7.1597 Å; angles 60.17, 60.17, 90.00 degrees
With the nearest neighbours (Å) after each atom.
Sites, in units of the cell vectors:
Cr 0.3749 0.1250 0.2500  2 F 2.19
Cr 0.3751 0.6250 0.2500  2 F 2.19
Cr 0.3750 0.6251 0.7500  2 F 2.19
Cr 0.8750 0.6249 0.7500  2 F 2.19
Rb 0.0000 0.0000 0.0000  12 Cr 4.18-4.21, 4 Rb 4.38, 4 F 4.38
Rb 0.7500 0.2500 0.5000  12 Cr 4.18-4.21, 4 Rb 4.38, 4 F 4.38
F 0.5000 0.5000 0.0000  4 Cr 2.19
F 0.2500 0.7500 0.5000  4 Cr 2.19

***

Entry two
The following is a PBE with a Hubbard U calculation of an optimized crystal structure of RbCr2F, from Alexandria via LeMat-Bulk.

Properties
Crystal system: cubic

Cell lengths 5.4309, 5.4309, 5.4309 Å; angles 60.00, 60.00, 60.00 degrees
With the nearest neighbours (Å) after each atom.
Sites, in units of the cell vectors:
Cr 0.2500 0.2500 0.2500  4 Rb 3.33, 4 F 3.33
Cr 0.7500 0.7500 0.7500  4 F 3.33, 4 Rb 3.33
Rb 0.5000 0.5000 0.5000  8 Cr 3.33
F 0.0000 0.0000 0.0000  8 Cr 3.33

***

Energy comparison, zero being the most stable, in eV/atom: entry one 0.000; entry two 0.519.